# 1
Compound: LaPr3O7
Source: OQMD
Functional: GGA-PBE
Structure: relaxed

Summary:
Magnetization   0.01 Bohr magnetons per cell

Cell: 8.275 5.982 5.982 Å, 35.84 90.00 90.00°
Fractional coordinates of all 11 atoms:
Pr1 0.500 0.993 0.993
Pr2 0.760 0.707 0.707
Pr3 0.240 0.707 0.707
O1 0.247 0.080 0.080
O2 0.000 0.607 0.607
O3 0.500 0.622 0.622
O4 0.753 0.080 0.080
O5 0.000 0.332 0.332
O6 0.408 0.344 0.344
O7 0.592 0.344 0.344
La1 0.000 0.980 0.980

# 2
Compound: LaPr2O3
Source: OQMD
Functional: GGA-PBE
Structure: relaxed

Summary:
Magnetization   0.02 Bohr magnetons per cell

Cell: 3.598 3.598 8.805 Å, 90.00 90.00 120.00°
Fractional coordinates of all 6 atoms:
O1 0.667 0.333 0.331
O2 0.333 0.667 0.669
O3 0.000 0.000 0.000
La1 0.000 0.000 0.500
Pr1 0.667 0.333 0.834
Pr2 0.333 0.667 0.166

# 3
Compound: LaPr2O4
Source: OQMD
Functional: GGA-PBE
Structure: relaxed

Summary:
Magnetization   0.00 Bohr magnetons per cell

Cell: 7.146 7.146 7.146 Å, 119.99 90.01 119.99°
Fractional coordinates of all 14 atoms:
O1 0.617 0.234 0.851
O2 0.133 0.266 0.399
O3 0.617 0.234 0.383
O4 0.601 0.734 0.867
O5 0.149 0.766 0.383
O6 0.133 0.734 0.867
O7 0.133 0.266 0.867
O8 0.617 0.766 0.383
Pr1 0.875 0.250 0.625
Pr2 0.375 0.250 0.625
Pr3 0.375 0.750 0.625
Pr4 0.375 0.750 0.125
La1 0.750 0.500 0.250
La2 0.000 0.000 0.000

# 4
Compound: La2PrReO6
Source: OQMD
Functional: GGA-PBE
Structure: relaxed

Summary:
Magnetization   1.61 Bohr magnetons per cell

Cell: 5.969 5.969 5.969 Å, 60.00 60.00 60.00°
Fractional coordinates of all 10 atoms:
Re1 0.500 0.500 0.500
O1 0.267 0.267 0.733
O2 0.733 0.267 0.733
O3 0.267 0.733 0.267
O4 0.267 0.733 0.733
O5 0.733 0.733 0.267
O6 0.733 0.267 0.267
Pr1 0.000 0.000 0.000
La1 0.250 0.250 0.250
La2 0.750 0.750 0.750

# 5
Compound: La3PrS3O4
Source: OQMD
Functional: GGA-PBE
Structure: relaxed

Summary:
Magnetization   0.00 Bohr magnetons per cell

Cell: 8.415 6.732 6.732 Å, 34.69 90.00 90.00°
Fractional coordinates of all 11 atoms:
S1 0.000 0.313 0.313
S2 0.628 0.356 0.356
S3 0.372 0.356 0.356
O1 0.756 0.088 0.088
O2 0.000 0.588 0.588
O3 0.500 0.616 0.616
O4 0.244 0.088 0.088
La1 0.000 0.995 0.995
La2 0.764 0.690 0.690
La3 0.236 0.690 0.690
Pr1 0.500 0.014 0.014

# 6
Compound: LaPrZn2Sb2O2
Source: OQMD
Functional: GGA-PBE
Structure: relaxed

Summary:
Magnetization   0.00 Bohr magnetons per cell

Cell: 4.213 4.213 9.547 Å, 90.00 90.00 90.00°
Fractional coordinates of all 8 atoms:
Pr1 0.500 0.500 0.880
Zn1 0.000 0.500 0.500
Zn2 0.500 0.000 0.500
O1 0.000 0.500 0.000
O2 0.500 0.000 0.000
Sb1 0.000 0.000 0.682
Sb2 0.500 0.500 0.319
La1 0.000 0.000 0.120

no.,DFT total energy (eV/atom)
1,-7.8073
2,-7.6443
3,-7.9796
4,-8.0288
5,-7.5665
6,-5.5046